Arrangement w

{"formula": "Ir3AuS", "functional": "PBE-GGA", "state": "optimized geometry", "vol_a3_per_atom": 23.6, "sg": "Pm-3m, No. 221", "m_tot_mub_per_fu": 4.81, "dos_at_fermi_per_ev_cell": 13.55, "lattice": [[4.903, 0.000, 0.000], [0.000, 4.903, 0.000], [0.000, 0.000, 4.903]], "species": ["S", "Ir", "Ir", "Ir", "Au"], "fractional_positions": [[0.500, 0.500, 0.500], [0.000, 0.500, 0.000], [0.000, 0.000, 0.500], [0.500, 0.000, 0.000], [0.000, 0.000, 0.000]]}

=====

Arrangement x

{"formula": "Ir3AuS", "functional": "PBE-GGA", "state": "optimized geometry", "vol_a3_per_atom": 17.1, "sg": "Pm-3m, No. 221", "m_tot_mub_per_fu": 0.00, "dos_at_fermi_per_ev_cell": 4.57, "lattice": [[-2.156, -3.344, -1.881], [1.395, -2.693, 3.189], [-3.574, 0.966, 2.379]], "species": ["S", "Ir", "Ir", "Ir", "Au"], "fractional_positions": [[0.000, 0.000, 0.000], [0.000, 0.500, 0.000], [0.000, 0.000, 0.500], [0.500, 0.000, 0.000], [0.500, 0.500, 0.500]]}

=====

Most stable one: arrangement x, least stable one: arrangement w.

=====

Arrangement w

{"formula": "SbIrAu", "functional": "PBE-GGA", "state": "optimized geometry", "vol_a3_per_atom": 19.3, "sg": "I4mm, No. 107", "m_tot_mub_per_fu": 0.00, "dos_at_fermi_per_ev_cell": 2.00, "lattice": [[6.079, -0.005, 0.000], [4.391, 4.204, 0.000], [-5.235, -2.099, 2.267]], "species": ["Au", "Ir", "Sb"], "fractional_positions": [[0.986, 0.986, 0.000], [0.325, 0.325, 0.000], [0.690, 0.690, 0.000]]}

=====

Arrangement x

{"formula": "SbIrAu", "functional": "PBE-GGA", "state": "optimized geometry", "vol_a3_per_atom": 21.0, "sg": "Pm, No. 6", "m_tot_mub_per_fu": 0.00, "dos_at_fermi_per_ev_cell": 1.68, "lattice": [[5.276, 0.000, -0.041], [0.000, 3.905, 0.000], [-1.167, 0.000, 6.128]], "species": ["Sb", "Sb", "Ir", "Ir", "Au", "Au"], "fractional_positions": [[0.376, 0.500, 0.898], [0.031, 0.000, 0.289], [0.497, 0.000, 0.163], [0.009, 0.500, 0.557], [0.509, 0.500, 0.478], [0.796, 0.000, 0.810]]}

=====

Most stable one: arrangement x, least stable one: arrangement w.

=====

Arrangement w

{"formula": "SbIrAu", "functional": "PBE-GGA", "state": "optimized geometry", "vol_a3_per_atom": 20.3, "sg": "Ama2, No. 40", "m_tot_mub_per_fu": 0.00, "dos_at_fermi_per_ev_cell": 6.93, "lattice": [[4.239, 0.000, 0.000], [0.000, 9.248, 0.000], [0.000, 0.000, 6.223]], "species": ["Sb", "Sb", "Sb", "Sb", "Ir", "Ir", "Ir", "Ir", "Au", "Au", "Au", "Au"], "fractional_positions": [[0.250, 0.835, 0.603], [0.750, 0.165, 0.603], [0.250, 0.335, 0.103], [0.750, 0.665, 0.103], [0.250, 0.110, 0.370], [0.750, 0.890, 0.370], [0.250, 0.610, 0.870], [0.750, 0.390, 0.870], [0.250, 0.398, 0.539], [0.750, 0.602, 0.539], [0.250, 0.898, 0.039], [0.750, 0.102, 0.039]]}

=====

Arrangement x

{"formula": "SbIrAu", "functional": "PBE-GGA", "state": "optimized geometry", "vol_a3_per_atom": 20.9, "sg": "P3m1, No. 156", "m_tot_mub_per_fu": 0.00, "dos_at_fermi_per_ev_cell": 0.98, "lattice": [[3.990, 0.000, 0.000], [-1.995, 3.455, 0.000], [0.000, 0.000, 4.554]], "species": ["Au", "Ir", "Sb"], "fractional_positions": [[0.000, 0.000, 0.023], [0.667, 0.333, 0.358], [0.333, 0.667, 0.618]]}

=====

Most stable one: arrangement w, least stable one: arrangement x.

=====

Arrangement w

{"formula": "Sb2Ir2Au", "functional": "PBE-GGA", "state": "optimized geometry", "vol_a3_per_atom": 19.1, "sg": "P4/mbm, No. 127", "m_tot_mub_per_fu": 0.00, "dos_at_fermi_per_ev_cell": 4.32, "lattice": [[-1.151, 6.500, 3.299], [-4.069, 2.198, -5.750], [-2.868, -1.288, 1.537]], "species": ["Sb", "Sb", "Sb", "Sb", "Ir", "Ir", "Ir", "Ir", "Au", "Au"], "fractional_positions": [[0.159, 0.659, 0.500], [0.659, 0.841, 0.500], [0.841, 0.341, 0.500], [0.341, 0.159, 0.500], [0.360, 0.860, 0.000], [0.860, 0.640, 0.000], [0.640, 0.140, 0.000], [0.140, 0.360, 0.000], [0.000, 0.000, 0.000], [0.500, 0.500, 0.000]]}

=====

Arrangement x

{"formula": "Sb2Ir2Au", "functional": "PBE-GGA", "state": "optimized geometry", "vol_a3_per_atom": 21.2, "sg": "I4/mmm, No. 139", "m_tot_mub_per_fu": 0.00, "dos_at_fermi_per_ev_cell": 3.85, "lattice": [[4.333, 0.000, 0.000], [0.000, 4.333, 0.000], [2.167, 2.167, 5.644]], "species": ["Sb", "Sb", "Ir", "Ir", "Au"], "fractional_positions": [[0.750, 0.250, 0.500], [0.250, 0.750, 0.500], [0.385, 0.385, 0.230], [0.615, 0.615, 0.770], [0.000, 0.000, 0.000]]}

=====

Most stable one: arrangement w, least stable one: arrangement x.

=====

Arrangement w

{"formula": "ScIrAu", "functional": "PBE-GGA", "state": "optimized geometry", "vol_a3_per_atom": 18.2, "sg": "P3m1, No. 156", "m_tot_mub_per_fu": 0.00, "dos_at_fermi_per_ev_cell": 1.14, "lattice": [[3.125, 0.000, 0.000], [-1.562, 2.706, 0.000], [0.000, 0.000, 6.444]], "species": ["Au", "Ir", "Sc"], "fractional_positions": [[0.000, 0.000, 0.993], [0.667, 0.333, 0.355], [0.333, 0.667, 0.652]]}

=====

Arrangement x

{"formula": "ScIrAu", "functional": "PBE-GGA", "state": "optimized geometry", "vol_a3_per_atom": 20.2, "sg": "Pmmm, No. 47", "m_tot_mub_per_fu": 0.00, "dos_at_fermi_per_ev_cell": 4.17, "lattice": [[3.323, 0.000, 0.000], [0.000, 4.143, 0.000], [0.000, 0.000, 8.814]], "species": ["Sc", "Sc", "Au", "Au", "Ir", "Ir"], "fractional_positions": [[0.000, 0.500, 0.250], [0.000, 0.500, 0.750], [0.000, 0.000, 0.000], [0.000, 0.000, 0.500], [0.500, 0.000, 0.250], [0.500, 0.000, 0.750]]}

=====

Arrangement y

{"formula": "ScIrAu", "functional": "PBE-GGA", "state": "optimized geometry", "vol_a3_per_atom": 17.4, "sg": "P3m1, No. 156", "m_tot_mub_per_fu": 0.00, "dos_at_fermi_per_ev_cell": 1.29, "lattice": [[-0.380, 2.275, 3.877], [-2.735, -3.486, -0.847], [1.949, -1.838, 1.269]], "species": ["Au", "Ir", "Sc"], "fractional_positions": [[0.000, 0.000, 0.979], [0.667, 0.333, 0.372], [0.333, 0.667, 0.650]]}

=====

Arrangement z

{"formula": "ScIrAu", "functional": "PBE-GGA", "state": "optimized geometry", "vol_a3_per_atom": 17.5, "sg": "Imm2, No. 44", "m_tot_mub_per_fu": 0.00, "dos_at_fermi_per_ev_cell": 1.89, "lattice": [[5.164, 0.007, -0.005], [2.888, 4.281, 0.005], [-3.820, -2.531, 2.381]], "species": ["Au", "Ir", "Sc"], "fractional_positions": [[0.000, 0.000, 0.000], [0.678, 0.678, 0.000], [0.322, 0.322, 0.000]]}

=====

Most stable one: arrangement z, least stable one: arrangement w.

=====

Arrangement w

{"formula": "IrAu2Se2", "functional": "PBE-GGA", "state": "optimized geometry", "vol_a3_per_atom": 20.9, "sg": "I4/mmm, No. 139", "m_tot_mub_per_fu": 0.92, "dos_at_fermi_per_ev_cell": 3.24, "lattice": [[-1.903, -2.389, 1.851], [2.650, -0.267, 2.379], [-2.955, 4.724, 6.502]], "species": ["Ir", "Au", "Au", "Se", "Se"], "fractional_positions": [[0.000, 0.000, 0.000], [0.417, 0.417, 0.167], [0.583, 0.583, 0.833], [0.750, 0.250, 0.500], [0.250, 0.750, 0.500]]}

=====

Arrangement x

{"formula": "IrAu2Se2", "functional": "PBE-GGA", "state": "optimized geometry", "vol_a3_per_atom": 19.0, "sg": "P4/mbm, No. 127", "m_tot_mub_per_fu": 0.00, "dos_at_fermi_per_ev_cell": 9.91, "lattice": [[-1.473, -3.715, -6.012], [4.912, -4.954, 1.858], [-2.561, -1.870, 1.783]], "species": ["Ir", "Ir", "Au", "Au", "Au", "Au", "Se", "Se", "Se", "Se"], "fractional_positions": [[0.000, 0.000, 0.000], [0.500, 0.500, 0.000], [0.363, 0.863, 0.000], [0.863, 0.637, 0.000], [0.637, 0.137, 0.000], [0.137, 0.363, 0.000], [0.178, 0.678, 0.500], [0.678, 0.822, 0.500], [0.822, 0.322, 0.500], [0.322, 0.178, 0.500]]}

=====

Most stable one: arrangement x, least stable one: arrangement w.

=====

Arrangement w

{"formula": "Sm3IrAu", "functional": "PBE-GGA", "state": "optimized geometry", "vol_a3_per_atom": 28.4, "sg": "Cmcm, No. 63", "m_tot_mub_per_fu": 0.00, "dos_at_fermi_per_ev_cell": 11.48, "lattice": [[7.312, 0.002, 0.001], [-0.003, 8.932, 0.128], [-0.003, 1.938, 8.720]], "species": ["Sm", "Sm", "Sm", "Sm", "Sm", "Sm", "Sm", "Sm", "Sm", "Sm", "Sm", "Sm", "Ir", "Ir", "Ir", "Ir", "Au", "Au", "Au", "Au"], "fractional_positions": [[0.497, 0.302, 0.960], [0.003, 0.040, 0.698], [0.503, 0.698, 0.040], [0.997, 0.960, 0.302], [0.997, 0.698, 0.040], [0.503, 0.960, 0.302], [0.003, 0.302, 0.960], [0.497, 0.040, 0.698], [0.500, 0.373, 0.373], [0.000, 0.627, 0.627], [0.500, 0.627, 0.627], [0.000, 0.373, 0.373], [0.750, 0.438, 0.128], [0.750, 0.872, 0.562], [0.250, 0.562, 0.872], [0.250, 0.128, 0.438], [0.250, 0.007, 0.993], [0.750, 0.993, 0.007], [0.250, 0.666, 0.334], [0.750, 0.334, 0.666]]}

=====

Arrangement x

{"formula": "Sm3IrAu", "functional": "PBE-GGA", "state": "optimized geometry", "vol_a3_per_atom": 26.8, "sg": "Pnma, No. 62", "m_tot_mub_per_fu": 0.00, "dos_at_fermi_per_ev_cell": 16.35, "lattice": [[4.574, 0.000, 0.000], [0.000, 7.565, 0.000], [0.000, 0.000, 15.512]], "species": ["Sm", "Sm", "Sm", "Sm", "Sm", "Sm", "Sm", "Sm", "Sm", "Sm", "Sm", "Sm", "Ir", "Ir", "Ir", "Ir", "Au", "Au", "Au", "Au"], "fractional_positions": [[0.250, 0.367, 0.554], [0.750, 0.823, 0.220], [0.750, 0.485, 0.900], [0.750, 0.985, 0.600], [0.750, 0.633, 0.446], [0.250, 0.015, 0.400], [0.250, 0.867, 0.946], [0.750, 0.323, 0.280], [0.250, 0.677, 0.720], [0.250, 0.177, 0.780], [0.750, 0.133, 0.054], [0.250, 0.515, 0.100], [0.250, 0.266, 0.956], [0.250, 0.766, 0.544], [0.750, 0.234, 0.456], [0.750, 0.734, 0.044], [0.750, 0.885, 0.804], [0.250, 0.115, 0.196], [0.750, 0.385, 0.696], [0.250, 0.615, 0.304]]}

=====

Most stable one: arrangement x, least stable one: arrangement w.

=====

Arrangement w

{"formula": "Sm8IrAu2", "functional": "PBE-GGA", "state": "optimized geometry", "vol_a3_per_atom": 28.4, "sg": "C2/m, No. 12", "m_tot_mub_per_fu": 0.00, "dos_at_fermi_per_ev_cell": 10.77, "lattice": [[5.165, 0.000, 0.000], [0.000, 6.918, 0.443], [-2.583, -2.438, 8.600]], "species": ["Sm", "Sm", "Sm", "Sm", "Sm", "Sm", "Sm", "Sm", "Ir", "Au", "Au"], "fractional_positions": [[0.413, 0.564, 0.826], [0.659, 0.968, 0.318], [0.797, 0.677, 0.593], [0.971, 0.214, 0.942], [0.203, 0.323, 0.407], [0.341, 0.032, 0.682], [0.587, 0.436, 0.174], [0.029, 0.786, 0.058], [0.500, 0.000, 0.000], [0.809, 0.263, 0.617], [0.191, 0.737, 0.383]]}

=====

Arrangement x

{"formula": "Sm8IrAu2", "functional": "PBE-GGA", "state": "optimized geometry", "vol_a3_per_atom": 29.7, "sg": "Cm, No. 8", "m_tot_mub_per_fu": 0.00, "dos_at_fermi_per_ev_cell": 12.64, "lattice": [[5.992, -0.324, -1.260], [-2.663, 7.321, -4.812], [-0.255, -1.776, 8.979]], "species": ["Sm", "Sm", "Sm", "Sm", "Sm", "Sm", "Sm", "Sm", "Ir", "Au", "Au"], "fractional_positions": [[0.640, 0.407, 0.167], [0.640, 0.167, 0.407], [0.092, 0.257, 0.257], [0.980, 0.191, 0.799], [0.980, 0.799, 0.191], [0.782, 0.723, 0.723], [0.312, 0.844, 0.615], [0.312, 0.615, 0.844], [0.302, 0.013, 0.013], [0.480, 0.740, 0.277], [0.480, 0.277, 0.740]]}

=====

Most stable one: arrangement w, least stable one: arrangement x.

=====

Arrangement w

{"formula": "Sm4IrAu", "functional": "PBE-GGA", "state": "optimized geometry", "vol_a3_per_atom": 30.3, "sg": "P2_1/c, No. 14", "m_tot_mub_per_fu": 0.00, "dos_at_fermi_per_ev_cell": 11.95, "lattice": [[7.112, 0.000, -0.165], [0.000, 7.097, 0.000], [-0.272, 0.000, 7.207]], "species": ["Sm", "Sm", "Sm", "Sm", "Sm", "Sm", "Sm", "Sm", "Ir", "Ir", "Au", "Au"], "fractional_positions": [[0.854, 0.659, 0.175], [0.646, 0.159, 0.825], [0.318, 0.336, 0.344], [0.182, 0.836, 0.656], [0.146, 0.341, 0.825], [0.354, 0.841, 0.175], [0.682, 0.664, 0.656], [0.818, 0.164, 0.344], [0.500, 0.000, 0.500], [0.000, 0.500, 0.500], [0.000, 0.000, 0.000], [0.500, 0.500, 0.000]]}

=====

Arrangement x

{"formula": "Sm4IrAu", "functional": "PBE-GGA", "state": "optimized geometry", "vol_a3_per_atom": 27.7, "sg": "Pnma, No. 62", "m_tot_mub_per_fu": 0.00, "dos_at_fermi_per_ev_cell": 22.65, "lattice": [[-3.799, 0.137, -3.006], [-5.312, -0.200, 6.704], [0.122, 16.027, 0.576]], "species": ["Sm", "Sm", "Sm", "Sm", "Sm", "Sm", "Sm", "Sm", "Sm", "Sm", "Sm", "Sm", "Sm", "Sm", "Sm", "Sm", "Ir", "Ir", "Ir", "Ir", "Au", "Au", "Au", "Au"], "fractional_positions": [[0.750, 0.866, 0.664], [0.250, 0.134, 0.336], [0.250, 0.634, 0.164], [0.750, 0.366, 0.836], [0.750, 0.850, 0.432], [0.250, 0.150, 0.568], [0.250, 0.650, 0.932], [0.750, 0.350, 0.068], [0.750, 0.961, 0.922], [0.250, 0.039, 0.078], [0.250, 0.539, 0.422], [0.750, 0.461, 0.578], [0.750, 0.917, 0.222], [0.250, 0.083, 0.778], [0.250, 0.583, 0.722], [0.750, 0.417, 0.278], [0.750, 0.689, 0.815], [0.250, 0.311, 0.185], [0.250, 0.811, 0.315], [0.750, 0.189, 0.685], [0.750, 0.229, 0.438], [0.250, 0.771, 0.562], [0.250, 0.271, 0.938], [0.750, 0.729, 0.062]]}

=====

Most stable one: arrangement x, least stable one: arrangement w.

=====

Arrangement w

{"formula": "SmThIrAu", "functional": "PBE-GGA", "state": "optimized geometry", "vol_a3_per_atom": 24.8, "sg": "Amm2, No. 38", "m_tot_mub_per_fu": 0.00, "dos_at_fermi_per_ev_cell": 2.90, "lattice": [[-1.055, -1.598, 3.488], [1.717, -3.659, -1.157], [5.717, 2.493, 0.602]], "species": ["Sm", "Th", "Ir", "Au"], "fractional_positions": [[0.150, 0.000, 0.300], [0.869, 0.500, 0.739], [0.398, 0.000, 0.795], [0.583, 0.500, 0.166]]}

=====

Arrangement x

{"formula": "SmThIrAu", "functional": "PBE-GGA", "state": "optimized geometry", "vol_a3_per_atom": 23.7, "sg": "F-43m, No. 216", "m_tot_mub_per_fu": 0.00, "dos_at_fermi_per_ev_cell": 4.08, "lattice": [[-0.755, 4.934, 1.141], [-2.401, 3.059, -3.331], [-4.720, 1.697, 1.026]], "species": ["Ir", "Au", "Sm", "Th"], "fractional_positions": [[0.000, 0.000, 0.000], [0.500, 0.500, 0.500], [0.250, 0.250, 0.250], [0.750, 0.750, 0.750]]}

=====

Most stable one: arrangement w, least stable one: arrangement x.

=====

Arrangement w

{"formula": "Sn2Ir2Au", "functional": "PBE-GGA", "state": "optimized geometry", "vol_a3_per_atom": 20.4, "sg": "I4/mmm, No. 139", "m_tot_mub_per_fu": 0.00, "dos_at_fermi_per_ev_cell": 1.55, "lattice": [[4.203, 0.000, 0.000], [0.000, 4.203, 0.000], [2.102, 2.102, 5.777]], "species": ["Ir", "Ir", "Au", "Sn", "Sn"], "fractional_positions": [[0.390, 0.390, 0.220], [0.610, 0.610, 0.780], [0.000, 0.000, 0.000], [0.750, 0.250, 0.500], [0.250, 0.750, 0.500]]}

=====

Arrangement x

{"formula": "Sn2Ir2Au", "functional": "PBE-GGA", "state": "optimized geometry", "vol_a3_per_atom": 18.3, "sg": "P4/mbm, No. 127", "m_tot_mub_per_fu": 0.00, "dos_at_fermi_per_ev_cell": 3.00, "lattice": [[-3.123, 6.679, 2.186], [-4.283, 0.087, -6.386], [-2.243, -1.534, 1.484]], "species": ["Ir", "Ir", "Ir", "Ir", "Au", "Au", "Sn", "Sn", "Sn", "Sn"], "fractional_positions": [[0.359, 0.859, 0.000], [0.859, 0.641, 0.000], [0.641, 0.141, 0.000], [0.141, 0.359, 0.000], [0.000, 0.000, 0.000], [0.500, 0.500, 0.000], [0.157, 0.657, 0.500], [0.657, 0.843, 0.500], [0.843, 0.343, 0.500], [0.343, 0.157, 0.500]]}

=====

Most stable one: arrangement x, least stable one: arrangement w.